## Th2Sc2Al (PBE)

Data for a geometry-optimized Th2Sc2Al structure.

Cell: 8.224 8.224 8.224 Å, 157.48 142.06 44.58°
Sites, in units of the cell vectors:
Th 0.200 0.200 0.000
Th 0.800 0.800 0.000
Sc 0.406 0.906 0.500
Sc 0.594 0.094 0.500
Al 0.000 0.500 0.500

Calculated values
energy relative to the elements: 55 kJ/mol of formula units
volume: 130.70 Å³/cell
DOS(E_F): 6.47 states/eV per cell


## ThSc5Al6 (PBE)

Data for a geometry-optimized ThSc5Al6 structure.

Cell: 8.458 8.458 4.890 Å, 106.68 106.68 47.92°
Sites, in units of the cell vectors:
Th 0.000 0.000 0.000
Sc 0.157 0.157 0.657
Sc 0.328 0.328 0.328
Sc 0.500 0.500 0.000
Sc 0.672 0.672 0.672
Sc 0.843 0.843 0.343
Al 0.092 0.558 0.825
Al 0.283 0.717 0.500
Al 0.442 0.908 0.175
Al 0.558 0.092 0.825
Al 0.717 0.283 0.500
Al 0.908 0.442 0.175

Calculated values
energy relative to the elements: -440 kJ/mol of formula units
volume: 246.51 Å³/cell
DOS(E_F): 6.02 states/eV per cell


## ThScAlTl (PBE)

Data for a geometry-optimized ThScAlTl structure.

Cell: 5.223 5.223 5.223 Å, 60.00 60.00 60.00°
Sites, in units of the cell vectors:
Th 0.000 0.000 0.000
Sc 0.500 0.500 0.500
Al 0.750 0.750 0.750
Tl 0.250 0.250 0.250

Calculated values
energy relative to the elements: -61 kJ/mol of formula units
volume: 100.76 Å³/cell
DOS(E_F): 4.51 states/eV per cell